Entry 1:
The following is a PBE-GGA calculation of crystalline LiAc3Pd at its relaxed geometry, from Alexandria.

The value obtained for the total energy is -3.999 eV per atom.

The space group is Pm-3m (No. 221) and the conventional cell measures 5.972, 5.972 and 5.972 Å, with angles of 90.00, 90.00 and 90.00 degrees. The asymmetric unit holds Li at (0.000, 0.000, 0.000), Ac at (0.000, 0.500, 0.500) and Pd at (0.500, 0.500, 0.500).

***

Entry 2:
The following is a PBE-GGA calculation of crystalline Ac2AsRh at its relaxed geometry, from Alexandria.

For the offset from the most stable computed form, the calculation gives 0.2171 eV/atom. The value obtained for the total energy is -5.822 eV per atom.

The space group is Fm-3m (No. 225) and the conventional cell measures 7.601, 7.601 and 7.601 Å, with angles of 90.00, 90.00 and 90.00 degrees. The asymmetric unit holds Ac at (0.250, 0.250, 0.250), As at (0.000, 0.000, 0.000) and Rh at (0.000, 0.000, 0.500).

***

Results for energy of formation from the pure elements: -0.1127, -0.7672 (in eV/atom, following the order of the records).